(1)
Nb3TcOs | GGA-PBE | relaxed

Results
Total moment: 0.0 μB per cell
D(E_F): 15.50 states/eV per cell
ΔE_f: 0.335 eV/atom
Final energy: -0.7369 Ry per atom

Cell: 6.261 8.082 8.082 Å, 69.85 90.08 90.08°
Sites, in units of the cell vectors:
Nb (0.491, 0.286, 0.956)
Nb (0.009, 0.044, 0.714)
Nb (0.509, 0.714, 0.044)
Nb (0.991, 0.956, 0.286)
Nb (0.991, 0.713, 0.042)
Nb (0.509, 0.958, 0.287)
Nb (0.009, 0.287, 0.958)
Nb (0.491, 0.042, 0.713)
Nb (0.499, 0.382, 0.382)
Nb (0.001, 0.618, 0.618)
Nb (0.501, 0.618, 0.618)
Nb (0.999, 0.382, 0.382)
Tc (0.749, 0.439, 0.112)
Tc (0.751, 0.888, 0.561)
Tc (0.251, 0.561, 0.888)
Tc (0.249, 0.112, 0.439)
Os (0.250, 0.999, 0.001)
Os (0.750, 0.001, 0.999)
Os (0.250, 0.668, 0.332)
Os (0.750, 0.332, 0.668)

---

(2)
Tm6Sb2TeSe3 | GGA-PBE | relaxed

Results
Total moment: 0.0 μB per cell
D(E_F): 4.72 states/eV per cell
E_form (uncorrected): -1.39 eV per atom
Final energy: -0.4006 Ry per atom

Cell: 4.167 8.356 9.343 Å, 103.08 102.89 90.00°
Sites, in units of the cell vectors:
Tm (0.325, 0.922, 0.650)
Tm (0.664, 0.592, 0.327)
Tm (0.675, 0.078, 0.350)
Tm (0.997, 0.271, 0.994)
Tm (0.003, 0.729, 0.006)
Tm (0.336, 0.408, 0.673)
Sb (0.834, 0.668, 0.668)
Sb (0.166, 0.332, 0.332)
Te (0.500, 0.000, 0.000)
Se (0.500, 0.500, 0.000)
Se (0.836, 0.166, 0.671)
Se (0.164, 0.834, 0.329)

---

(3)
Li4Hg5 | GGA-PBE | relaxed

Results
Total moment: 0.0 μB per cell
D(E_F): 7.40 states/eV per cell
ΔE_f: -0.287 eV/atom
Final energy: -0.0959 Ry per atom

Cell: 8.299 8.299 5.954 Å, 90.00 90.00 120.00°
Sites, in units of the cell vectors:
Hg (0.000, 0.710, 0.250)
Hg (0.290, 0.290, 0.250)
Hg (0.710, 0.000, 0.250)
Hg (0.000, 0.290, 0.750)
Hg (0.710, 0.710, 0.750)
Hg (0.290, 0.000, 0.750)
Hg (0.667, 0.333, 0.000)
Hg (0.333, 0.667, 0.500)
Hg (0.333, 0.667, 0.000)
Hg (0.667, 0.333, 0.500)
Li (0.000, 0.000, 0.000)
Li (0.000, 0.000, 0.500)
Li (0.000, 0.367, 0.250)
Li (0.633, 0.633, 0.250)
Li (0.367, 0.000, 0.250)
Li (0.000, 0.633, 0.750)
Li (0.367, 0.367, 0.750)
Li (0.633, 0.000, 0.750)

---

(4)
KYHgBr6 | GGA-PBE | relaxed

Results
Total moment: 0.0 μB per cell
D(E_F): 0.00 states/eV per cell
E_form (uncorrected): -1.36 eV per atom
Final energy: -0.2465 Ry per atom

Cell: 7.336 7.336 14.600 Å, 90.00 90.00 120.00°
Sites, in units of the cell vectors:
K (0.000, 0.000, 0.000)
K (0.000, 0.000, 0.500)
Y (0.667, 0.333, 0.250)
Y (0.333, 0.667, 0.750)
Hg (0.333, 0.667, 0.250)
Hg (0.667, 0.333, 0.750)
Br (0.632, 0.627, 0.137)
Br (0.995, 0.368, 0.137)
Br (0.368, 0.995, 0.637)
Br (0.005, 0.632, 0.863)
Br (0.373, 0.368, 0.363)
Br (0.995, 0.627, 0.363)
Br (0.627, 0.995, 0.863)
Br (0.632, 0.005, 0.363)
Br (0.005, 0.373, 0.637)
Br (0.373, 0.005, 0.137)
Br (0.627, 0.632, 0.637)
Br (0.368, 0.373, 0.863)

---

(5)
Sm2TmMg | GGA-PBE | relaxed

Results
Total moment: 0.0 μB per cell
D(E_F): 3.70 states/eV per cell
ΔE_f: 0.180 eV/atom
Final energy: -0.2717 Ry per atom

Cell: 3.464 3.464 12.500 Å, 82.03 82.03 60.00°
Sites, in units of the cell vectors:
Mg (0.000, 0.000, 0.000)
Tm (0.500, 0.500, 0.500)
Sm (0.090, 0.090, 0.731)
Sm (0.910, 0.910, 0.269)

---

(6)
LaNd6Sn4 | GGA-PBE | relaxed

Results
Total moment: 0.0 μB per cell
D(E_F): 12.77 states/eV per cell
ΔE_f: -0.391 eV/atom
Final energy: -0.3598 Ry per atom

Cell: 8.324 8.324 8.324 Å, 88.26 121.01 121.01°
Sites, in units of the cell vectors:
La (0.000, 0.000, 0.000)
Nd (0.000, 0.825, 0.511)
Nd (0.000, 0.511, 0.825)
Nd (0.686, 0.175, 0.175)
Nd (0.500, 0.000, 0.500)
Nd (0.314, 0.489, 0.489)
Nd (0.500, 0.500, 0.000)
Sn (0.000, 0.180, 0.626)
Sn (0.554, 0.374, 0.374)
Sn (0.000, 0.626, 0.180)
Sn (0.446, 0.820, 0.820)

---

(7)
Sr2RuIN | GGA-PBE | relaxed

Results
Total moment: 0.0 μB per cell
D(E_F): 2.12 states/eV per cell
E_form (uncorrected): -0.66 eV per atom
Final energy: -0.3797 Ry per atom

Cell: 5.655 5.655 3.849 Å, 90.00 90.00 90.00°
Sites, in units of the cell vectors:
I (0.500, 0.500, 0.500)
Ru (0.000, 0.000, 0.500)
N (0.000, 0.000, 0.000)
Sr (0.000, 0.500, 0.000)
Sr (0.500, 0.000, 0.000)

---

(8)
K4Rb2Cu | GGA-PBE | relaxed

Results
Total moment: 0.0 μB per cell
D(E_F): 4.95 states/eV per cell
ΔE_f: 0.169 eV/atom
Final energy: -0.0970 Ry per atom

Cell: 6.572 6.572 12.559 Å, 105.17 105.17 90.00°
Sites, in units of the cell vectors:
K (0.859, 0.859, 0.719)
K (0.141, 0.141, 0.281)
K (0.000, 0.500, 0.000)
K (0.500, 0.000, 0.000)
Cu (0.000, 0.000, 0.000)
Rb (0.664, 0.664, 0.328)
Rb (0.336, 0.336, 0.672)

---

(9)
TiCuGe | GGA-PBE | relaxed

Results
Total moment: 0.0 μB per cell
D(E_F): 2.33 states/eV per cell
ΔE_f: -0.127 eV/atom
Final energy: -0.4163 Ry per atom

Cell: 2.897 2.897 5.710 Å, 104.70 104.70 90.00°
Sites, in units of the cell vectors:
Ge (0.942, 0.942, 0.883)
Cu (0.288, 0.288, 0.576)
Ti (0.620, 0.620, 0.240)

---

(10)
NpGaNi | GGA-PBE | relaxed

Results
Total moment: 3.4 μB per cell
D(E_F): 5.09 states/eV per cell
ΔE_f: -0.166 eV/atom
Final energy: -0.5451 Ry per atom

Cell: 2.873 4.506 4.506 Å, 120.00 90.00 90.00°
Sites, in units of the cell vectors:
Np (0.667, 0.333, 0.667)
Ni (0.167, 0.000, 0.000)
Ga (0.167, 0.667, 0.333)

---

(11)
MgZr3Sc | GGA-PBE | relaxed

Results
Total moment: 0.0 μB per cell
D(E_F): 12.14 states/eV per cell
ΔE_f: 0.998 eV/atom
Final energy: -0.4201 Ry per atom

Cell: 5.110 5.110 5.110 Å, 90.00 90.00 90.00°
Sites, in units of the cell vectors:
Sc (0.500, 0.500, 0.500)
Mg (0.000, 0.000, 0.000)
Zr (0.000, 0.500, 0.000)
Zr (0.000, 0.000, 0.500)
Zr (0.500, 0.000, 0.000)

---

(12)
SmTi2Pd9 | GGA-PBE | relaxed

Results
Total moment: 0.0 μB per cell
D(E_F): 2.26 states/eV per cell
ΔE_f: -0.698 eV/atom
Final energy: -0.4632 Ry per atom

Cell: 4.014 4.014 12.001 Å, 90.00 90.00 90.00°
Sites, in units of the cell vectors:
Sm (0.000, 0.000, 0.000)
Ti (0.000, 0.000, 0.337)
Ti (0.000, 0.000, 0.663)
Pd (0.500, 0.500, 0.000)
Pd (0.500, 0.500, 0.341)
Pd (0.500, 0.500, 0.659)
Pd (0.500, 0.000, 0.184)
Pd (0.500, 0.000, 0.500)
Pd (0.500, 0.000, 0.816)
Pd (0.000, 0.500, 0.184)
Pd (0.000, 0.500, 0.500)
Pd (0.000, 0.500, 0.816)